Record 1
A plane-wave DFT calculation with PBE was carried out for Nd2SbPt3 after structural relaxation.

Computed properties:
Final energy   -37.82 eV/f.u.
Formation energy without anion corrections   -1.006 eV/atom
Magnetic moment   0.00 μB/cell
DOS at the Fermi energy   0.488 states/eV per atom
SG   Pmm2 (25)
Volume   23.12 Å³ per atom
Mass density   11.918 g/cm³

Cell: 3.7699 4.5477 8.0905 Å, 90.00 90.00 90.00°
Last column: nearest neighbours and their distance in Å.
Atoms (fractional coordinates):
Nd1 0.0000 0.0000 0.0000  8 Pt 3.13-3.46, 4 Sb 3.38
Nd2 0.0000 0.5000 0.4471  10 Pt 3.16-3.34, 2 Sb 3.40
Sb1 0.5000 0.5000 0.7966  3 Pt 2.60-2.67
Pt1 0.5000 0.0000 0.3085  3 Pt 2.69-2.71
Pt2 0.5000 0.0000 0.6408  2 Sb 2.60, 1 Pt 2.69
Pt3 0.5000 0.5000 0.1264  1 Sb 2.67, 2 Pt 2.71

---

Record 2
A plane-wave DFT calculation with PBE was carried out for Tm2B3C after structural relaxation.

Computed properties:
Final energy   -41.44 eV/f.u.
Magnetic moment   0.00 μB/cell
DOS at the Fermi energy   0.205 states/eV per atom
SG   Pmm2 (25)
Volume   10.86 Å³ per atom
Mass density   9.745 g/cm³

Cell: 3.1365 3.8204 5.4364 Å, 90.00 90.00 90.00°
Last column: nearest neighbours and their distance in Å.
Atoms (fractional coordinates):
Tm1 0.0000 0.0000 0.0000  8 B 2.61-2.63, 4 C 2.62
Tm2 0.5000 0.0000 0.4927  10 B 2.63-2.67, 2 C 2.64
B1 0.0000 0.5000 0.3261  2 C 1.82, 1 B 1.86
B2 0.0000 0.5000 0.6677  3 B 1.82-1.86
B3 0.5000 0.5000 0.8360  1 C 1.75, 2 B 1.82
C1 0.5000 0.5000 0.1573  3 B 1.75-1.82

---

Record 3
A plane-wave DFT calculation with PBE was carried out for Ta2NiH after structural relaxation.

Computed properties:
Final energy   -31.71 eV/f.u.
Magnetic moment   0.00 μB/cell
DOS at the Fermi energy   1.128 states/eV per atom
Excess energy over the best structure of this formula in the dataset   271 meV per atom
SG   Fm-3m (225)
Volume   13.18 Å³ per atom
Mass density   13.282 g/cm³

Cell: 5.9519 5.9519 5.9519 Å, 90.00 90.00 90.00°
Last column: nearest neighbours and their distance in Å.
Atoms (fractional coordinates):
Ta1 0.2500 0.2500 0.2500  4 H 2.58, 4 Ni 2.58
Ta2 0.2500 0.2500 0.7500  4 H 2.58, 4 Ni 2.58
Ta3 0.2500 0.7500 0.2500  4 H 2.58, 4 Ni 2.58
Ta4 0.2500 0.7500 0.7500  4 H 2.58, 4 Ni 2.58
Ta5 0.7500 0.2500 0.2500  4 H 2.58, 4 Ni 2.58
Ta6 0.7500 0.2500 0.7500  4 H 2.58, 4 Ni 2.58
Ta7 0.7500 0.7500 0.2500  4 H 2.58, 4 Ni 2.58
Ta8 0.7500 0.7500 0.7500  4 H 2.58, 4 Ni 2.58
Ni1 0.0000 0.0000 0.0000  8 Ta 2.58
Ni2 0.0000 0.5000 0.5000  8 Ta 2.58
Ni3 0.5000 0.0000 0.5000  8 Ta 2.58
Ni4 0.5000 0.5000 0.0000  8 Ta 2.58
H1 0.0000 0.0000 0.5000  8 Ta 2.58
H2 0.0000 0.5000 0.0000  8 Ta 2.58
H3 0.5000 0.0000 0.0000  8 Ta 2.58
H4 0.5000 0.5000 0.5000  8 Ta 2.58

---

Record 4
A plane-wave DFT calculation with PBE was carried out for CePd5Pt2 after structural relaxation.

Computed properties:
Final energy   -46.55 eV/f.u.
Magnetic moment   0.00 μB/cell
DOS at the Fermi energy   0.973 states/eV per atom
Excess energy over the best structure of this formula in the dataset   18 meV per atom
SG   C2/c (15)
Volume   18.09 Å³ per atom
Mass density   12.188 g/cm³

Cell: 7.1125 7.1125 9.7547 Å, 116.65 116.65 41.98°
Last column: nearest neighbours and their distance in Å.
Atoms (fractional coordinates):
Ce1 0.0000 0.5000 0.0000  2 Pt 2.72, 4 Pd 2.83-2.87
Ce2 0.5000 0.0000 0.5000  2 Pt 2.72, 4 Pd 2.83-2.87
Pd1 0.0367 0.9633 0.2500  2 Pt 2.68, 4 Pd 2.72-2.74
Pd2 0.1423 0.2424 0.2235  5 Pd 2.72-2.89, 2 Pt 2.76-2.81, 2 Ce 2.83-2.87
Pd3 0.2424 0.1423 0.7235  5 Pd 2.72-2.89, 2 Pt 2.76-2.81, 2 Ce 2.83-2.87
Pd4 0.4240 0.4367 0.3264  3 Pt 2.69-2.87, 5 Pd 2.74-2.98
Pd5 0.4367 0.4240 0.8264  3 Pt 2.69-2.87, 5 Pd 2.74-2.98
Pd6 0.5633 0.5760 0.1736  3 Pt 2.69-2.87, 5 Pd 2.74-2.98
Pd7 0.5760 0.5633 0.6736  3 Pt 2.69-2.87, 5 Pd 2.74-2.98
Pd8 0.7576 0.8577 0.2765  5 Pd 2.72-2.89, 2 Pt 2.76-2.81, 2 Ce 2.83-2.87
Pd9 0.8577 0.7576 0.7765  5 Pd 2.72-2.89, 2 Pt 2.76-2.81, 2 Ce 2.83-2.87
Pd10 0.9633 0.0367 0.7500  2 Pt 2.68, 4 Pd 2.72-2.74
Pt1 0.1484 0.5715 0.5225  6 Pd 2.68-2.87, 1 Ce 2.72, 1 Pt 2.76
Pt2 0.4285 0.8516 0.9775  6 Pd 2.68-2.87, 1 Ce 2.72, 1 Pt 2.76
Pt3 0.5715 0.1484 0.0225  6 Pd 2.68-2.87, 1 Ce 2.72, 1 Pt 2.76
Pt4 0.8516 0.4285 0.4775  6 Pd 2.68-2.87, 1 Ce 2.72, 1 Pt 2.76

---

Record 5
A plane-wave DFT calculation with PBE was carried out for Cs2Ce2HfSe6 after structural relaxation.

Computed properties:
Final energy   -61.85 eV/f.u.
Formation energy without anion corrections   -1.583 eV/atom
Magnetic moment   2.02 μB/cell
DOS at the Fermi energy   1.396 states/eV per atom
SG   C2/m (12)
Volume   35.72 Å³ per atom
Mass density   5.064 g/cm³

Cell: 7.2589 7.2589 8.9214 Å, 98.16 98.16 119.42°
Last column: nearest neighbours and their distance in Å.
Atoms (fractional coordinates):
Cs1 0.1712 0.8288 0.0000  6 Se 3.61-3.72
Cs2 0.8288 0.1712 0.0000  6 Se 3.61-3.72
Ce1 0.3335 0.6665 0.5000  6 Se 2.97
Ce2 0.6665 0.3335 0.5000  6 Se 2.97
Hf1 0.0000 0.0000 0.5000  6 Se 2.72-2.73
Se1 0.0637 0.3712 0.6822  1 Hf 2.73, 2 Ce 2.97
Se2 0.2432 0.2432 0.3189  1 Hf 2.72, 2 Ce 2.97
Se3 0.3712 0.0637 0.6822  1 Hf 2.73, 2 Ce 2.97
Se4 0.6288 0.9363 0.3178  1 Hf 2.73, 2 Ce 2.97
Se5 0.7568 0.7568 0.6811  1 Hf 2.72, 2 Ce 2.97
Se6 0.9363 0.6288 0.3178  1 Hf 2.73, 2 Ce 2.97

---

Record 6
A plane-wave DFT calculation with PBE was carried out for PtC2 after structural relaxation.

Computed properties:
Final energy   -17.30 eV/f.u.
Magnetic moment   0.00 μB/cell
DOS at the Fermi energy   0.740 states/eV per atom
Excess energy over the best structure of this formula in the dataset   2075 meV per atom
SG   P-62m (189)
Volume   10.26 Å³ per atom
Mass density   11.821 g/cm³

Cell: 5.8542 5.8542 3.1112 Å, 90.00 90.00 120.00°
Last column: nearest neighbours and their distance in Å.
Atoms (fractional coordinates):
Pt1 0.0000 0.0000 0.0000  9 C 2.19-2.26
Pt2 0.3333 0.6667 0.5000  9 C 2.19-2.39
Pt3 0.6667 0.3333 0.5000  9 C 2.19-2.39
C1 0.0000 0.2621 0.5000  4 Pt 2.19
C2 0.0000 0.6137 0.0000  5 Pt 2.26-2.39
C3 0.2621 0.0000 0.5000  4 Pt 2.19
C4 0.3863 0.3863 0.0000  5 Pt 2.26-2.39
C5 0.6137 0.0000 0.0000  5 Pt 2.26-2.39
C6 0.7379 0.7379 0.5000  4 Pt 2.19

---

Record 7
A plane-wave DFT calculation with PBE was carried out for NdMg2SiIr2 after structural relaxation.

Computed properties:
Final energy   -33.10 eV/f.u.
Formation energy without anion corrections   -0.333 eV/atom
Magnetic moment   0.51 μB/cell
DOS at the Fermi energy   0.964 states/eV per atom
SG   P4/mmm (123)
Volume   20.85 Å³ per atom
Mass density   8.036 g/cm³

Cell: 4.5574 4.5574 6.0224 Å, 90.00 90.00 90.00°
Last column: nearest neighbours and their distance in Å.
Atoms (fractional coordinates):
Nd1 0.0000 0.0000 0.0000  2 Si 3.01
Mg1 0.5000 0.5000 0.2445  4 Ir 2.75, 2 Mg 2.94-3.08
Mg2 0.5000 0.5000 0.7555  4 Ir 2.75, 2 Mg 2.94-3.08
Si1 0.0000 0.0000 0.5000  4 Ir 2.28
Ir1 0.0000 0.5000 0.5000  2 Si 2.28
Ir2 0.5000 0.0000 0.5000  2 Si 2.28

---

Record 8
A plane-wave DFT calculation with PBE was carried out for Tb2LuCu after structural relaxation.

Computed properties:
Final energy   -18.20 eV/f.u.
Magnetic moment   0.00 μB/cell
DOS at the Fermi energy   1.448 states/eV per atom
Excess energy over the best structure of this formula in the dataset   0 meV per atom
SG   P4/mmm (123)
Volume   26.12 Å³ per atom
Mass density   8.844 g/cm³

Cell: 3.4916 3.4916 8.5688 Å, 90.00 90.00 90.00°
Last column: nearest neighbours and their distance in Å.
Atoms (fractional coordinates):
Tb1 0.0000 0.0000 0.2026  4 Cu 3.02
Tb2 0.0000 0.0000 0.7974  4 Cu 3.02
Lu1 0.5000 0.5000 0.5000  4 Lu 3.49, 8 Tb 3.55
Cu1 0.5000 0.5000 0.0000  8 Tb 3.02

---

Record 9
A plane-wave DFT calculation with PBE was carried out for KFeBr2 after structural relaxation.

Computed properties:
Final energy   -15.12 eV/f.u.
Formation energy without anion corrections   -0.553 eV/atom
Magnetic moment   6.02 μB/cell
DOS at the Fermi energy   0.634 states/eV per atom
Excess energy over the best structure of this formula in the dataset   75 meV per atom
SG   Immm (71)
Volume   29.42 Å³ per atom
Mass density   3.595 g/cm³

Cell: 3.9374 6.8422 8.7352 Å, 90.00 90.00 90.00°
Last column: nearest neighbours and their distance in Å.
Atoms (fractional coordinates):
K1 0.0000 0.0000 0.0000  4 Br 3.35
K2 0.5000 0.5000 0.5000  4 Br 3.35
Fe1 0.0000 0.0000 0.5000  4 Br 2.57
Fe2 0.5000 0.5000 0.0000  4 Br 2.57
Br1 0.0000 0.5000 0.1894  2 Fe 2.57
Br2 0.0000 0.5000 0.8106  2 Fe 2.57
Br3 0.5000 0.0000 0.3106  2 Fe 2.57
Br4 0.5000 0.0000 0.6894  2 Fe 2.57

---

Record 10
A plane-wave DFT calculation with PBE was carried out for Nd3ErTl4Te8 after structural relaxation.

Computed properties:
Final energy   -70.48 eV/f.u.
Formation energy without anion corrections   -1.064 eV/atom
Magnetic moment   0.00 μB/cell
SG   R-3m (166)
Volume   36.43 Å³ per atom
Mass density   6.946 g/cm³

Cell: 9.7160 9.7160 9.7160 Å, 55.64 55.64 55.64°
Last column: nearest neighbours and their distance in Å.
Atoms (fractional coordinates):
Nd1 0.0000 0.5000 0.5000  6 Te 3.19
Nd2 0.5000 0.0000 0.5000  6 Te 3.19
Nd3 0.5000 0.5000 0.0000  6 Te 3.19
Er1 0.0000 0.0000 0.0000  6 Te 3.11
Tl1 0.0000 0.0000 0.5000  6 Te 3.47
Tl2 0.0000 0.5000 0.0000  6 Te 3.47
Tl3 0.5000 0.0000 0.0000  6 Te 3.47
Tl4 0.5000 0.5000 0.5000  6 Te 3.55
Te1 0.2346 0.2346 0.7477  1 Er 3.11, 2 Nd 3.19, 2 Tl 3.47
Te2 0.2346 0.7477 0.2346  1 Er 3.11, 2 Nd 3.19, 2 Tl 3.47
Te3 0.2523 0.7654 0.7654  1 Er 3.11, 2 Nd 3.19, 2 Tl 3.47
Te4 0.2594 0.2594 0.2594  3 Nd 3.19, 3 Tl 3.47
Te5 0.7406 0.7406 0.7406  3 Nd 3.19, 3 Tl 3.47
Te6 0.7477 0.2346 0.2346  1 Er 3.11, 2 Nd 3.19, 2 Tl 3.47
Te7 0.7654 0.2523 0.7654  1 Er 3.11, 2 Nd 3.19, 2 Tl 3.47
Te8 0.7654 0.7654 0.2523  1 Er 3.11, 2 Nd 3.19, 2 Tl 3.47

---

Record 11
A plane-wave DFT calculation with PBE was carried out for Cs3Ce2NdS6 after structural relaxation.

Computed properties:
Final energy   -65.20 eV/f.u.
Formation energy without anion corrections   -1.770 eV/atom
Magnetic moment   2.01 μB/cell
DOS at the Fermi energy   0.978 states/eV per atom
SG   C2/m (12)
Volume   31.82 Å³ per atom
Mass density   4.416 g/cm³

Cell: 7.3909 7.3909 8.4394 Å, 98.39 98.39 120.00°
Last column: nearest neighbours and their distance in Å.
Atoms (fractional coordinates):
Cs1 0.0000 0.0000 0.0000  6 S 3.54
Cs2 0.3339 0.6661 0.0000  6 S 3.54
Cs3 0.6661 0.3339 0.0000  6 S 3.54
Ce1 0.1667 0.8333 0.5000  6 S 2.88
Ce2 0.8333 0.1667 0.5000  6 S 2.88
Nd1 0.5000 0.5000 0.5000  6 S 2.88-2.89
S1 0.1044 0.4382 0.3146  2 Ce 2.88, 1 Nd 2.89
S2 0.2280 0.2280 0.6852  2 Ce 2.88, 1 Nd 2.88
S3 0.4382 0.1044 0.3146  2 Ce 2.88, 1 Nd 2.89
S4 0.5618 0.8956 0.6854  2 Ce 2.88, 1 Nd 2.89
S5 0.7720 0.7720 0.3148  2 Ce 2.88, 1 Nd 2.88
S6 0.8956 0.5618 0.6854  2 Ce 2.88, 1 Nd 2.89

---

Record 12
A plane-wave DFT calculation with PBE was carried out for RbPt after structural relaxation.

Computed properties:
Final energy   -6.01 eV/f.u.
Magnetic moment   0.00 μB/cell
DOS at the Fermi energy   0.756 states/eV per atom
SG   P-6m2 (187)
Volume   23.67 Å³ per atom
Mass density   9.840 g/cm³

Cell: 3.1516 3.1516 5.5040 Å, 90.00 90.00 120.00°
Last column: nearest neighbours and their distance in Å.
Atoms (fractional coordinates):
Rb1 0.0000 0.0000 0.0000  6 Rb 3.15, 6 Pt 3.30
Pt1 0.3333 0.6667 0.5000  6 Pt 3.15, 6 Rb 3.30